Dy2InHg at its PBEsol-relaxed geometry. Source: the Alexandria database, functional meta-GGA SCAN.

Summary:
Its spin magnetization is 0.08 μB per cell. As for the formation energy: -0.651 eV per atom.

a b c (Å): 5.200 5.200 5.200
angles (deg): 60.00 60.00 60.00
Sites, in units of the cell vectors:
Dy (0.250, 0.250, 0.250)
Dy (0.750, 0.750, 0.750)
Hg (0.500, 0.500, 0.500)
In (0.000, 0.000, 0.000)

BaMg2As2 at its PBEsol-relaxed geometry. Source: the Alexandria database, functional meta-GGA SCAN.

Summary:
Its spin magnetization is 0.00 μB per cell. As for the formation energy: -1.092 eV per atom.

a b c (Å): 4.473 4.473 7.681
angles (deg): 90.00 90.00 120.00
Sites, in units of the cell vectors:
Mg (0.667, 0.333, 0.376)
Mg (0.333, 0.667, 0.624)
As (0.667, 0.333, 0.729)
As (0.333, 0.667, 0.271)
Ba (0.000, 0.000, 0.000)